Compound: Tl3Cd2CuF9
Source: Alexandria via LeMat-Bulk
Functional: PBE
Structure: relaxed

Structure (POSCAR):
```
Tl3Cd2CuF9
1.0
-4.3749 -4.1810 -1.2400
4.4843 1.0889 -4.1065
4.2556 -5.4060 3.2137
F Tl Cu Cd
9 3 1 2
Direct
0.5000 0.0000 0.0000 F
0.8418 0.1582 0.6543 F
0.1582 0.3164 0.3457 F
0.3164 0.1582 0.6543 F
0.5000 0.5000 0.0000 F
0.1582 0.8418 0.3457 F
0.0000 0.5000 0.0000 F
0.6836 0.8418 0.3457 F
0.8418 0.6836 0.6543 F
0.3333 0.6667 0.6652 Tl
0.6667 0.3333 0.3348 Tl
0.0000 0.0000 0.0000 Tl
0.0000 0.0000 0.5000 Cu
0.3333 0.6667 0.1793 Cd
0.6667 0.3333 0.8207 Cd
```

Calculated values
E_tot   -58.31 eV for the cell shown
Volume   250.9 Å³ per cell
Size of the total moment   1.0 μB per cell
Raw formation energy   -1.896 eV/atom